1.
# Y2MgTa, relaxed, DFT PBE
data_Y2MgTa
_symmetry_space_group_name_H-M 'C m m m'
_symmetry_Int_Tables_number 65
_symmetry_space_group_name_Hall '-C 2 2'
_cell_length_a 7.096
_cell_length_b 8.618
_cell_length_c 3.286
_cell_angle_alpha 90.00
_cell_angle_beta 90.00
_cell_angle_gamma 90.00
loop_
_atom_site_label
_atom_site_type_symbol
_atom_site_fract_x
_atom_site_fract_y
_atom_site_fract_z
Y1 Y 0.250 0.250 0.000
Mg1 Mg 0.000 0.000 0.500
Ta1 Ta 0.000 0.500 0.500
# * M_tot: 0.00 μB/f.u.
# * DFT formation energy: 1.22 eV per formula unit
# * E: -6.288 eV per atom

2.
# CeThAl6, relaxed, DFT PBE
data_CeThAl6
_symmetry_space_group_name_H-M 'P -6 m 2'
_symmetry_Int_Tables_number 187
_symmetry_space_group_name_Hall 'P -6 2'
_cell_length_a 6.4741
_cell_length_b 6.4741
_cell_length_c 4.6336
_cell_angle_alpha 90.00
_cell_angle_beta 90.00
_cell_angle_gamma 120.00
loop_
_atom_site_label
_atom_site_type_symbol
_atom_site_fract_x
_atom_site_fract_y
_atom_site_fract_z
Ce1 Ce 0.0000 0.0000 0.0000
Th1 Th 0.3333 0.6667 0.5000
Al1 Al 0.3801 0.1900 0.5000
Al2 Al 0.5257 0.0514 0.0000
# * M_tot: 0.59 μB/f.u.
# * DFT formation energy: -3.30 eV per formula unit
# * E: -4.888 eV per atom

3.
# SrAg2BF8, relaxed, DFT PBE
data_SrAg2BF8
_symmetry_space_group_name_H-M 'P -3 m 1'
_symmetry_Int_Tables_number 164
_symmetry_space_group_name_Hall '-P 3 2"'
_cell_length_a 5.2147
_cell_length_b 5.2147
_cell_length_c 6.6019
_cell_angle_alpha 90.00
_cell_angle_beta 90.00
_cell_angle_gamma 120.00
loop_
_atom_site_label
_atom_site_type_symbol
_atom_site_fract_x
_atom_site_fract_y
_atom_site_fract_z
Sr1 Sr 0.0000 0.0000 0.0000
Ag1 Ag 0.3333 0.6667 0.3614
B1 B 0.0000 0.0000 0.5000
F1 F 0.1462 0.2924 0.6465
F2 F 0.3333 0.6667 0.0409
# * M_tot: 1.02 μB/f.u.
# * ΔE_f (raw): -2.0734 eV/atom
# * E: -4.493 eV per atom

4.
# Sr2LiRh, relaxed, DFT PBE
data_Sr2LiRh
_symmetry_space_group_name_H-M 'P 4/m m m'
_symmetry_Int_Tables_number 123
_symmetry_space_group_name_Hall '-P 4 2'
_cell_length_a 5.332
_cell_length_b 5.332
_cell_length_c 3.859
_cell_angle_alpha 90.00
_cell_angle_beta 90.00
_cell_angle_gamma 90.00
loop_
_atom_site_label
_atom_site_type_symbol
_atom_site_fract_x
_atom_site_fract_y
_atom_site_fract_z
Sr1 Sr 0.000 0.500 0.000
Li1 Li 0.000 0.000 0.500
Rh1 Rh 0.500 0.500 0.500
# * M_tot: 0.00 μB/f.u.
# * DFT formation energy: -0.09 eV per formula unit
# * E: -3.181 eV per atom

5.
# ZnGe2Te2, relaxed, DFT PBE
data_ZnGe2Te2
_symmetry_space_group_name_H-M 'I 4/m m m'
_symmetry_Int_Tables_number 139
_symmetry_space_group_name_Hall '-I 4 2'
_cell_length_a 5.116
_cell_length_b 5.116
_cell_length_c 12.964
_cell_angle_alpha 90.00
_cell_angle_beta 90.00
_cell_angle_gamma 90.00
loop_
_atom_site_label
_atom_site_type_symbol
_atom_site_fract_x
_atom_site_fract_y
_atom_site_fract_z
Zn1 Zn 0.000 0.000 0.000
Ge1 Ge 0.000 0.500 0.250
Te1 Te 0.000 0.000 0.353
# * M_tot: 0.00 μB/f.u.
# * ΔE_f (raw): 0.2931 eV/atom
# * offset from the most stable computed form: 104.1 meV per atom
# * E: -3.065 eV per atom

6.
# Pm3Pr6Ho2Tm, relaxed, DFT PBE
data_Pm3Pr6Ho2Tm
_symmetry_space_group_name_H-M 'C 1 2/m 1'
_symmetry_Int_Tables_number 12
_symmetry_space_group_name_Hall '-C 2y'
_cell_length_a 6.339
_cell_length_b 10.983
_cell_length_c 11.988
_cell_angle_alpha 90.00
_cell_angle_beta 100.13
_cell_angle_gamma 90.00
loop_
_atom_site_label
_atom_site_type_symbol
_atom_site_fract_x
_atom_site_fract_y
_atom_site_fract_z
Pm1 Pm 0.000 0.000 0.000
Pm2 Pm 0.000 0.333 0.000
Pr1 Pr 0.249 0.000 0.746
Pr2 Pr 0.249 0.334 0.746
Ho1 Ho 0.000 0.167 0.500
Tm1 Tm 0.000 0.500 0.500
# * M_tot: 0.00 μB/f.u.
# * DFT formation energy: 0.17 eV per formula unit
# * E: -4.699 eV per atom

7.
# TbEr2AgN, relaxed, DFT PBE
data_TbEr2AgN
_symmetry_space_group_name_H-M 'P 4/m m m'
_symmetry_Int_Tables_number 123
_symmetry_space_group_name_Hall '-P 4 2'
_cell_length_a 4.716
_cell_length_b 4.716
_cell_length_c 4.870
_cell_angle_alpha 90.00
_cell_angle_beta 90.00
_cell_angle_gamma 90.00
loop_
_atom_site_label
_atom_site_type_symbol
_atom_site_fract_x
_atom_site_fract_y
_atom_site_fract_z
Tb1 Tb 0.000 0.000 0.000
Er1 Er 0.000 0.500 0.500
Ag1 Ag 0.500 0.500 0.000
N1 N 0.000 0.000 0.500
# * M_tot: 0.00 μB/f.u.
# * ΔE_f (raw): -0.7573 eV/atom
# * E: -5.744 eV per atom

8.
# CsRuPt3, relaxed, DFT PBE
data_CsRuPt3
_symmetry_space_group_name_H-M 'P m -3 m'
_symmetry_Int_Tables_number 221
_symmetry_space_group_name_Hall '-P 4 2 3'
_cell_length_a 4.971
_cell_length_b 4.971
_cell_length_c 4.971
_cell_angle_alpha 90.00
_cell_angle_beta 90.00
_cell_angle_gamma 90.00
loop_
_atom_site_label
_atom_site_type_symbol
_atom_site_fract_x
_atom_site_fract_y
_atom_site_fract_z
Cs1 Cs 0.000 0.000 0.000
Ru1 Ru 0.500 0.500 0.500
Pt1 Pt 0.000 0.500 0.500
# * M_tot: 0.00 μB/f.u.
# * DFT formation energy: 4.32 eV per formula unit
# * offset from the most stable computed form: 0.0 meV per atom
# * E: -4.786 eV per atom

Copy entry 6 word for word.
# Pm3Pr6Ho2Tm, relaxed, DFT PBE
data_Pm3Pr6Ho2Tm
_symmetry_space_group_name_H-M 'C 1 2/m 1'
_symmetry_Int_Tables_number 12
_symmetry_space_group_name_Hall '-C 2y'
_cell_length_a 6.339
_cell_length_b 10.983
_cell_length_c 11.988
_cell_angle_alpha 90.00
_cell_angle_beta 100.13
_cell_angle_gamma 90.00
loop_
_atom_site_label
_atom_site_type_symbol
_atom_site_fract_x
_atom_site_fract_y
_atom_site_fract_z
Pm1 Pm 0.000 0.000 0.000
Pm2 Pm 0.000 0.333 0.000
Pr1 Pr 0.249 0.000 0.746
Pr2 Pr 0.249 0.334 0.746
Ho1 Ho 0.000 0.167 0.500
Tm1 Tm 0.000 0.500 0.500
# * M_tot: 0.00 μB/f.u.
# * DFT formation energy: 0.17 eV per formula unit
# * E: -4.699 eV per atom

Q: Which of these has the lowest E?
A: Y2MgTa

Q: E of number 1 (Y2MgTa)?
A: -6.288 eV per atom

Q: M_tot of number 2 (CeThAl6)?
A: 0.59 μB/f.u.